1.
Below is an optimized crystal structure of DyI3, with properties calculated at the GGA-PBE level.

a = 7.276 Å, b = 7.276 Å, c = 13.141 Å
α = 90.00°, β = 90.00°, γ = 90.00°
Space group P4_2/mnm (No. 136)
Symmetry-distinct sites (fractional):
Dy 0.000 0.000 0.169 x4
I 0.201 0.201 0.000 x4
I 0.204 0.204 0.335 x8

Output
crystal system: tetragonal


2.
Below is an optimized crystal structure of CuSiBPd, with properties calculated at the GGA-PBE level.

a = 5.785 Å, b = 5.785 Å, c = 5.785 Å
α = 90.00°, β = 90.00°, γ = 90.00°
Space group F-43m (No. 216)
Symmetry-distinct sites (fractional):
Cu 0.000 0.000 0.000 x4
Si 0.250 0.250 0.750 x4
B 0.000 0.000 0.500 x4
Pd 0.250 0.250 0.250 x4

Output
crystal system: cubic


3.
Below is an optimized crystal structure of NbTeNO, with properties calculated at the GGA-PBE level.

a = 6.384 Å, b = 7.090 Å, c = 5.824 Å
α = 90.00°, β = 90.00°, γ = 90.00°
Space group Pca2_1 (No. 29)
Symmetry-distinct sites (fractional):
Nb 0.115 0.158 0.000 x4
Te 0.007 0.336 0.451 x4
N 0.021 0.621 0.427 x4
O 0.104 0.011 0.684 x4

Output
crystal system: orthorhombic


4.
Below is an optimized crystal structure of Ta5Re8, with properties calculated at the GGA-PBE level.

a = 5.1827 Å, b = 5.1827 Å, c = 27.7160 Å
α = 90.00°, β = 90.00°, γ = 120.00°
Space group R-3m (No. 166, hexagonal axes)
Symmetry-distinct sites (fractional):
Ta 0.0000 0.0000 0.0000 x3
Ta 0.0000 0.0000 0.3486 x6
Ta 0.0000 0.0000 0.4523 x6
Re 0.0000 0.0000 0.1668 x6
Re 0.0039 0.5020 0.4139 x18

Output
formation enthalpy at 0 K: -0.005 eV/atom
crystal system: trigonal


5.
Below is an optimized crystal structure of Zr3GeB4, with properties calculated at the GGA-PBE level.

a = 3.164 Å, b = 3.588 Å, c = 8.842 Å
α = 90.00°, β = 90.00°, γ = 90.00°
Space group Pmmm (No. 47)
Symmetry-distinct sites (fractional):
Zr 0.000 0.000 0.000 x1
Zr 0.500 0.000 0.311 x2
Ge 0.000 0.500 0.500 x1
B 0.000 0.500 0.202 x2
B 0.500 0.500 0.109 x2

Output
crystal system: orthorhombic


6.
Below is an optimized crystal structure of SmInAg, with properties calculated at the GGA-PBE level.

a = 7.083 Å, b = 7.083 Å, c = 7.083 Å
α = 90.00°, β = 90.00°, γ = 90.00°
Space group F-43m (No. 216)
Symmetry-distinct sites (fractional):
Sm 0.000 0.000 0.000 x4
In 0.250 0.250 0.250 x4
Ag 0.250 0.250 0.750 x4

Output
crystal system: cubic


7.
Below is an optimized crystal structure of Nd3InN, with properties calculated at the GGA-PBE level.

a = 5.025 Å, b = 5.025 Å, c = 5.025 Å
α = 90.00°, β = 90.00°, γ = 90.00°
Space group Pm-3m (No. 221)
Symmetry-distinct sites (fractional):
Nd 0.000 0.000 0.500 x3
In 0.500 0.500 0.500 x1
N 0.000 0.000 0.000 x1

Output
crystal system: cubic


8.
Below is an optimized crystal structure of Rb2NiBi2, with properties calculated at the GGA-PBE level.

a = 7.594 Å, b = 14.870 Å, c = 6.471 Å
α = 90.00°, β = 90.00°, γ = 90.00°
Space group Cmcm (No. 63)
Symmetry-distinct sites (fractional):
Rb 0.000 0.105 0.250 x4
Rb 0.000 0.304 0.750 x4
Ni 0.000 0.500 0.000 x4
Bi 0.199 0.403 0.250 x8

Output
crystal system: orthorhombic


In the order shown, the computed calculated total energy values come out to -3.66 -4.70 -7.24 -12.21 -7.87 -3.30 -5.94 -3.33 eV per atom.